# 1
VASP calculation (PBE-GGA) on crystalline CdRhCl2 at its relaxed geometry.

## Properties
**Distance to the lowest polymorph of the same formula**: 46 meV/atom
**Crystal system**: monoclinic
**Formation energy from raw total energies**: -122.4 kJ/mol of formula units

Unit cell a=10.631 b=3.342 c=6.394 alpha=90.00 beta=116.95 gamma=90.00
Space group Cm (No. 8)
Asymmetric unit:
1 Cd 0.000 0.000 0.000 [2 per cell]
2 Rh 0.263 0.000 0.001 [2 per cell]
3 Cl 0.175 0.500 0.708 [2 per cell]
4 Cl 0.336 0.500 0.294 [2 per cell]

***

# 2
VASP calculation (PBE-GGA) on crystalline Nd4Tm5In at its relaxed geometry.

## Properties
**Distance to the lowest polymorph of the same formula**: 0 meV/atom
**DFT formation energy**: -0.082 eV per atom
**Crystal system**: tetragonal

Unit cell a=3.599 b=3.599 c=24.184 alpha=90.00 beta=90.00 gamma=90.00
Space group P4/mmm (No. 123)
Asymmetric unit:
1 Nd 0.000 0.000 0.103 [2 per cell]
2 Nd 0.000 0.000 0.313 [2 per cell]
3 Tm 0.500 0.500 0.000 [1 per cell]
4 Tm 0.500 0.500 0.207 [2 per cell]
5 Tm 0.500 0.500 0.416 [2 per cell]
6 In 0.000 0.000 0.500 [1 per cell]

***

# 3
VASP calculation (PBE-GGA) on crystalline YZrZnCd at its relaxed geometry.

## Properties
**DFT formation energy**: -0.174 eV per atom
**Crystal system**: cubic

Unit cell a=7.106 b=7.106 c=7.106 alpha=90.00 beta=90.00 gamma=90.00
Space group F-43m (No. 216)
Asymmetric unit:
1 Y 0.000 0.000 0.000 [4 per cell]
2 Zr 0.000 0.000 0.500 [4 per cell]
3 Zn 0.250 0.250 0.250 [4 per cell]
4 Cd 0.250 0.250 0.750 [4 per cell]

***

# 4
VASP calculation (PBE-GGA) on crystalline Li14Al2S9 at its relaxed geometry.

## Properties
**Crystal system**: trigonal
**Formation energy from raw total energies**: -2764.9 kJ/mol of formula units

Unit cell a=7.0605 b=7.0605 c=9.8258 alpha=90.00 beta=90.00 gamma=120.00
Space group P-3 (No. 147)
Asymmetric unit:
1 Li 0.0000 0.0000 0.2477 [2 per cell]
2 Li 0.0249 0.6806 0.9146 [6 per cell]
3 Li 0.0618 0.3816 0.5897 [6 per cell]
4 Al 0.3333 0.6667 0.2595 [2 per cell]
5 S 0.0000 0.0000 0.0000 [1 per cell]
6 S 0.0436 0.3470 0.3354 [6 per cell]
7 S 0.3333 0.6667 0.0250 [2 per cell]

***

# 5
VASP calculation (PBE-GGA) on crystalline FeOs2Br at its relaxed geometry.

## Properties
**Distance to the lowest polymorph of the same formula**: 228 meV/atom
**Crystal system**: orthorhombic
**Formation energy from raw total energies**: 347.9 kJ/mol of formula units

Unit cell a=2.794 b=4.540 c=12.340 alpha=90.00 beta=90.00 gamma=90.00
Space group Cmmm (No. 65)
Asymmetric unit:
1 Fe 0.000 0.000 0.000 [2 per cell]
2 Os 0.000 0.500 0.170 [4 per cell]
3 Br 0.000 0.000 0.500 [2 per cell]

***

# 6
VASP calculation (PBE-GGA) on crystalline Tm5HfCd4 at its relaxed geometry.

## Properties
**DFT formation energy**: -0.217 eV per atom
**Crystal system**: tetragonal

Unit cell a=3.499 b=3.499 c=20.733 alpha=90.00 beta=90.00 gamma=90.00
Space group P4/mmm (No. 123)
Asymmetric unit:
1 Tm 0.000 0.000 0.000 [1 per cell]
2 Tm 0.000 0.000 0.194 [2 per cell]
3 Tm 0.000 0.000 0.396 [2 per cell]
4 Hf 0.500 0.500 0.500 [1 per cell]
5 Cd 0.500 0.500 0.096 [2 per cell]
6 Cd 0.500 0.500 0.292 [2 per cell]

***

# 7
VASP calculation (PBE-GGA) on crystalline Ba3TeF at its relaxed geometry.

## Properties
**Distance to the lowest polymorph of the same formula**: 0 meV/atom
**Crystal system**: cubic
**Formation energy from raw total energies**: -698.7 kJ/mol of formula units

Unit cell a=5.528 b=5.528 c=5.528 alpha=90.00 beta=90.00 gamma=90.00
Space group Pm-3m (No. 221)
Asymmetric unit:
1 Ba 0.000 0.000 0.500 [3 per cell]
2 Te 0.500 0.500 0.500 [1 per cell]
3 F 0.000 0.000 0.000 [1 per cell]

***

# 8
VASP calculation (PBE-GGA) on crystalline SrAc12Sn7 at its relaxed geometry.

## Properties
**DFT formation energy**: -0.421 eV per atom
**Crystal system**: trigonal

Unit cell a=17.0165 b=17.0165 c=9.5517 alpha=90.00 beta=90.00 gamma=120.00
Space group R-3m (No. 166, hexagonal axes)
Asymmetric unit:
1 Sr 0.0000 0.0000 0.0000 [3 per cell]
2 Ac 0.0000 0.2692 0.0000 [18 per cell]
3 Ac 0.1049 0.2099 0.3749 [18 per cell]
4 Sn 0.0000 0.0000 0.5000 [3 per cell]
5 Sn 0.1098 0.2196 0.7522 [18 per cell]

***

# 9
VASP calculation (PBE-GGA) on crystalline Pm3Sm3Co2 at its relaxed geometry.

## Properties
**DFT formation energy**: 0.001 eV per atom
**Crystal system**: orthorhombic

Unit cell a=3.691 b=13.484 c=18.603 alpha=90.00 beta=90.00 gamma=90.00
Space group Cmcm (No. 63)
Asymmetric unit:
1 Pm 0.000 0.045 0.250 [4 per cell]
2 Pm 0.000 0.178 0.567 [8 per cell]
3 Sm 0.000 0.232 0.750 [4 per cell]
4 Sm 0.000 0.434 0.587 [8 per cell]
5 Co 0.000 0.194 0.140 [8 per cell]

***

# 10
VASP calculation (PBE-GGA) on crystalline MnPb2Au2 at its relaxed geometry.

## Properties
**DFT formation energy**: 0.118 eV per atom
**Crystal system**: tetragonal

Unit cell a=7.157 b=7.157 c=4.617 alpha=90.00 beta=90.00 gamma=90.00
Space group P4/mbm (No. 127)
Asymmetric unit:
1 Mn 0.000 0.000 0.000 [2 per cell]
2 Pb 0.174 0.326 0.500 [4 per cell]
3 Au 0.142 0.642 0.000 [4 per cell]

***

# 11
VASP calculation (PBE-GGA) on crystalline Ac3Pr4SmSe8 at its relaxed geometry.

## Properties
**Crystal system**: trigonal
**Formation energy from raw total energies**: -2834.9 kJ/mol of formula units

Unit cell a=8.6747 b=8.6747 c=21.1811 alpha=90.00 beta=90.00 gamma=120.00
Space group R-3m (No. 166, hexagonal axes)
Asymmetric unit:
1 Ac 0.0000 0.5000 0.0000 [9 per cell]
2 Pr 0.0000 0.0000 0.5000 [3 per cell]
3 Pr 0.0000 0.5000 0.5000 [9 per cell]
4 Sm 0.0000 0.0000 0.0000 [3 per cell]
5 Se 0.0000 0.0000 0.2460 [6 per cell]
6 Se 0.0093 0.5046 0.7515 [18 per cell]

***

# 12
VASP calculation (PBE-GGA) on crystalline ZrAlAs2 at its relaxed geometry.

## Properties
**DFT formation energy**: -0.062 eV per atom
**Crystal system**: trigonal

Unit cell a=3.0923 b=3.0923 c=29.3625 alpha=90.00 beta=90.00 gamma=120.00
Space group R-3m (No. 166, hexagonal axes)
Asymmetric unit:
1 Zr 0.0000 0.0000 0.0000 [3 per cell]
2 Al 0.0000 0.0000 0.5000 [3 per cell]
3 As 0.0000 0.0000 0.2564 [6 per cell]